# 1
A relaxed LaAs3F crystal, computed with PBE.

```
5
Lattice="5.752 0.000 0.000 0.000 5.752 0.000 0.000 0.000 5.752" Properties=species:S:1:pos:R:3 pbc="T T T"
La 0.000 0.000 0.000
As 2.876 0.000 0.000
As 0.000 0.000 2.876
As 0.000 2.876 0.000
F 2.876 2.876 2.876
```

## Properties
E_form (uncorrected): 2.7 eV/f.u.
Theoretical density: 3.3 g/cm³
Symmetry: Pm-3m, No. 221
Magnetization: 0.51 μB/f.u.
ΔE to the lowest computed polymorph: 1.229 eV/atom



# 2
A relaxed Sb2PbCl crystal, computed with PBE.

```
4
Lattice="10.275 -0.022 -0.013 9.678 3.451 -0.013 9.678 1.663 3.024" Properties=species:S:1:pos:R:3 pbc="T T T"
Sb 29.507 5.071 2.985
Sb 14.938 2.567 1.511
Pb 22.223 3.819 2.248
Cl 7.408 1.273 0.749
```

## Properties
E_form (uncorrected): 0.2 eV/f.u.
Theoretical density: 7.5 g/cm³
Symmetry: R-3m, No. 166
Magnetization: 0.00 μB/f.u.
ΔE to the lowest computed polymorph: 0.283 eV/atom



# 3
A relaxed SrCrAu crystal, computed with PBE.

```
3
Lattice="-5.058 -0.789 0.349 -2.190 -0.612 4.600 -3.043 3.668 1.901" Properties=species:S:1:pos:R:3 pbc="T T T"
Sr -7.719 1.701 5.136
Au 0.000 0.000 0.000
Cr -5.146 1.134 3.424
```

## Properties
Theoretical density: 5.9 g/cm³
Symmetry: F-43m, No. 216
E_form: 0.595 eV/atom
Magnetization: 5.12 μB/f.u.
ΔE to the lowest computed polymorph: 0.589 eV/atom



# 4
A relaxed Ac2SI4 crystal, computed with PBE.

```
14
Lattice="-1.575 -2.962 2.558 7.917 -9.619 -6.262 10.229 2.463 9.150" Properties=species:S:1:pos:R:3 pbc="T T T"
Ac 8.173 -8.282 -4.555
Ac 6.276 -4.267 2.403
Ac 9.973 1.125 7.443
Ac 10.295 -5.852 3.043
I 7.047 -0.355 7.407
I 9.523 -9.763 -1.961
I 5.547 -8.195 -2.594
I 6.141 -0.998 2.626
I 5.634 -3.646 -0.752
I 11.024 -1.923 8.040
I 12.512 -3.511 3.639
I 12.005 -6.158 0.262
S -0.788 -1.481 1.279
S 9.073 -3.578 1.444
```

## Properties
E_form (uncorrected): -11.3 eV/f.u.
Theoretical density: 4.0 g/cm³
Symmetry: P4_2/mnm, No. 136
Magnetization: 0.00 μB/f.u.



# 5
A relaxed Ti3InAu2 crystal, computed with PBE.

```
6
Lattice="2.991 0.000 0.000 0.000 2.991 0.000 0.000 0.000 11.953" Properties=species:S:1:pos:R:3 pbc="T T T"
Au 1.496 1.496 10.023
Au 1.496 1.496 1.930
Ti 0.000 0.000 8.111
Ti 0.000 0.000 0.000
Ti 0.000 0.000 3.841
In 1.496 1.496 5.976
```

## Properties
Theoretical density: 10.1 g/cm³
Symmetry: P4/mmm, No. 123
E_form: -0.288 eV/atom
Magnetization: 1.17 μB/f.u.



# 6
A relaxed Ba3SrBi2Au crystal, computed with PBE.

```
7
Lattice="5.819 0.000 0.000 0.000 5.881 0.000 -2.909 -2.941 9.366" Properties=species:S:1:pos:R:3 pbc="T T T"
Bi 0.000 0.000 6.927
Bi 2.909 2.941 2.439
Au 0.000 0.000 0.000
Ba 0.000 0.000 3.402
Ba 2.909 2.941 5.963
Ba 0.000 2.941 0.000
Sr 2.909 0.000 0.000
```

## Properties
Theoretical density: 5.8 g/cm³
Symmetry: Immm, No. 71
E_form: -0.689 eV/atom
Magnetization: 0.00 μB/f.u.



- Among the records above, which one has the highest theoretical density?
  Ti3InAu2



What did the third record say?
A relaxed SrCrAu crystal, computed with PBE.

```
3
Lattice="-5.058 -0.789 0.349 -2.190 -0.612 4.600 -3.043 3.668 1.901" Properties=species:S:1:pos:R:3 pbc="T T T"
Sr -7.719 1.701 5.136
Au 0.000 0.000 0.000
Cr -5.146 1.134 3.424
```

## Properties
Theoretical density: 5.9 g/cm³
Symmetry: F-43m, No. 216
E_form: 0.595 eV/atom
Magnetization: 5.12 μB/f.u.
ΔE to the lowest computed polymorph: 0.589 eV/atom



- What is the formula in the fifth record?
  Ti3InAu2